(1)
First-principles (PBE-GGA) data for PaTl2HgS4 after structural relaxation, as listed in Alexandria via LeMat-Bulk.

The uncorrected formation energy comes out at -0.58 eV/atom.

It has space group I-4 (No. 82), with a = 7.501 Å, b = 7.501 Å, c = 8.775 Å, α = 90.00°, β = 90.00° and γ = 90.00°. The asymmetric unit holds Pa at (0.000, 0.000, 0.000), Tl at (0.000, 0.000, 0.500), Tl at (0.000, 0.500, 0.750), Hg at (0.000, 0.500, 0.250) and S at (0.191, 0.758, 0.133).

(2)
First-principles (PBE-GGA) data for MnGe after structural relaxation, as listed in Alexandria via LeMat-Bulk.

The formation energy is 0.64 eV/atom.

It has space group F-43m (No. 216), with a = 5.605 Å, b = 5.605 Å, c = 5.605 Å, α = 90.00°, β = 90.00° and γ = 90.00°. The asymmetric unit holds Mn at (0.000, 0.000, 0.000) and Ge at (0.250, 0.250, 0.750).

(3)
First-principles (PBE-GGA) data for PrNd12In4O3 after structural relaxation, as listed in Alexandria via LeMat-Bulk.

The uncorrected formation energy comes out at -0.80 eV/atom.

It has space group Im-3m (No. 229), with a = 10.281 Å, b = 10.281 Å, c = 10.281 Å, α = 90.00°, β = 90.00° and γ = 90.00°. The asymmetric unit holds Pr at (0.000, 0.000, 0.000), Nd at (0.000, 0.000, 0.273), Nd at (0.000, 0.250, 0.500), In at (0.250, 0.250, 0.250) and O at (0.000, 0.000, 0.500).

(4)
First-principles (PBE-GGA) data for TaCoB after structural relaxation, as listed in Alexandria via LeMat-Bulk.

The formation energy is -0.63 eV/atom.

It has space group P2_1/m (No. 11), with a = 5.942 Å, b = 3.250 Å, c = 10.219 Å, α = 90.00°, β = 90.56° and γ = 90.00°. The asymmetric unit holds Ta at (0.030, 0.250, 0.210), Ta at (0.346, 0.750, 0.580), Ta at (0.469, 0.750, 0.881), Co at (0.001, 0.250, 0.592), Co at (0.145, 0.250, 0.960), Co at (0.360, 0.750, 0.299), B at (0.232, 0.250, 0.421), B at (0.237, 0.750, 0.080) and B at (0.266, 0.250, 0.751).

(5)
First-principles (PBE-GGA) data for BeAgSb2 after structural relaxation, as listed in Alexandria via LeMat-Bulk.

The uncorrected formation energy comes out at 0.63 eV/atom.

It has space group F-43m (No. 216), with a = 7.034 Å, b = 7.034 Å, c = 7.034 Å, α = 90.00°, β = 90.00° and γ = 90.00°. The asymmetric unit holds Be at (0.000, 0.000, 0.000), Ag at (0.250, 0.250, 0.250), Sb at (0.000, 0.000, 0.500) and Sb at (0.250, 0.250, 0.750).

(6)
First-principles (PBE-GGA) data for YCd3Tc after structural relaxation, as listed in Alexandria via LeMat-Bulk.

The formation energy is 0.53 eV/atom. The value obtained for the energy above the lowest structure with this stoichiometry is 0.000 eV per formula unit.

It has space group Pm-3m (No. 221), with a = 5.123 Å, b = 5.123 Å, c = 5.123 Å, α = 90.00°, β = 90.00° and γ = 90.00°. The asymmetric unit holds Y at (0.000, 0.000, 0.000), Cd at (0.000, 0.500, 0.500) and Tc at (0.500, 0.500, 0.500).

(7)
First-principles (PBE-GGA) data for MnCr2NiI after structural relaxation, as listed in Alexandria via LeMat-Bulk.

The uncorrected formation energy comes out at 0.95 eV/atom.

It has space group P4/mmm (No. 123), with a = 4.739 Å, b = 4.739 Å, c = 4.629 Å, α = 90.00°, β = 90.00° and γ = 90.00°. The asymmetric unit holds Mn at (0.000, 0.000, 0.000), Cr at (0.000, 0.500, 0.500), Ni at (0.000, 0.000, 0.500) and I at (0.500, 0.500, 0.000).

(8)
First-principles (PBE-GGA) data for KBa2Zr after structural relaxation, as listed in Alexandria via LeMat-Bulk.

The formation energy is 0.46 eV/atom. The value obtained for the energy above the lowest structure with this stoichiometry is 0.000 eV per formula unit.

It has space group P4/mmm (No. 123), with a = 3.884 Å, b = 3.884 Å, c = 12.469 Å, α = 90.00°, β = 90.00° and γ = 90.00°. The asymmetric unit holds K at (0.000, 0.000, 0.000), Ba at (0.500, 0.500, 0.304) and Zr at (0.000, 0.000, 0.500).

Record order is preserved below.
Magnetization: 0.132; 1.439; 0.048; 0.000; 0.000; 0.000; 2.518; 0.000 μB per atom